[1]
Entry from Alexandria via LeMat-Bulk: CeHo3Er3Se8 after structural relaxation (PBE).

Unit cell a=8.0932 b=8.0932 c=19.8012 alpha=90.00 beta=90.00 gamma=120.00
Space group R-3m (No. 166, hexagonal axes)
Unique sites:
Ce1 0.0000 0.0000 0.0000 x3
Ho1 0.0000 0.5000 0.5000 x9
Er1 0.0000 0.5000 0.0000 x9
Se1 0.0000 0.0000 0.2505 x6
Se2 0.0147 0.5074 0.2469 x18

Output
Formation energy from raw total energies, eV/atom: -1.779

---

[2]
Entry from Alexandria via LeMat-Bulk: Ce2HoEr3Se6 after structural relaxation (PBE).

Unit cell a=7.0477 b=12.2321 c=7.1580 alpha=90.00 beta=109.26 gamma=90.00
Space group C2/m (No. 12)
Unique sites:
Ce1 0.0000 0.1663 0.0000 x4
Ho1 0.0000 0.5000 0.0000 x2
Er1 0.0000 0.0000 0.5000 x2
Er2 0.0000 0.3319 0.5000 x4
Se1 0.2393 0.5000 0.7384 x4
Se2 0.2500 0.1634 0.7398 x8

Output
Formation energy from raw total energies, eV/atom: -1.750

---

[3]
Entry from Alexandria via LeMat-Bulk: Ce2Sm3HoEr6 after structural relaxation (PBE).

Unit cell a=6.1351 b=10.6220 c=11.6701 alpha=90.00 beta=100.08 gamma=90.00
Space group C2/m (No. 12)
Unique sites:
Ce1 0.0000 0.1664 0.0000 x4
Sm1 0.0000 0.0000 0.5000 x2
Sm2 0.0000 0.3340 0.5000 x4
Ho1 0.0000 0.5000 0.0000 x2
Er1 0.2474 0.0000 0.2471 x4
Er2 0.2497 0.1676 0.7531 x8

Output
Formation energy, eV/atom: 0.044

---

[4]
Entry from Alexandria via LeMat-Bulk: CeSmHoEr2 after structural relaxation (PBE).

Unit cell a=5.8213 b=7.7092 c=7.1867 alpha=90.00 beta=90.00 gamma=90.00
Space group Pmma (No. 51)
Unique sites:
Ce1 0.0000 0.0000 0.0000 x2
Sm1 0.2500 0.5000 0.1622 x2
Ho1 0.2500 0.0000 0.3870 x2
Er1 0.2500 0.2921 0.6779 x4

Output
Formation energy, eV/atom: 0.298

---

no.,calculated total energy (eV per cell)
1,-263.76
2,-144.09
3,-114.91
4,-45.74